Material: PrNdMnIn
Method: DFT, PBE
State: relaxed

Results
- uncorrected energy (eV/atom) = -5.413
- M_tot (Bohr magnetons per cell) = 3.37
- ΔH_f (0 K) (kJ/mol of formula units) = -19
- space-group type = F-43m (216)
- N(E_F) (states/eV/cell) = 5.12

```
4
Lattice="5.3934 0.0000 0.0000 2.6967 4.6708 0.0000 2.6967 1.5569 4.4037" Properties=species:S:1:pos:R:3 pbc="T T T"
Pr 2.6967 1.5569 1.1009
Mn 0.0000 0.0000 0.0000
Nd 8.0901 4.6708 3.3028
In 5.3934 3.1139 2.2018
```